# 1
Density functional theory data (GGA-PBE) for crystalline Sm2CdIn3Hg6 at its relaxed geometry.

As for the mass density: 7.95 g cm⁻³. The calculation puts the formation energy at 0.01 eV per atom. The magnetization is 0.000 μB/atom. The energy comes out at -1.686 eV per atom.

The structure belongs to space group P4/mmm (No. 123); the cell edges are 4.6219, 4.6219 and 19.1736 Å and the angles 90.00°, 90.00° and 90.00°. The distinct sites, in fractional coordinates, are Sm at (0.0000, 0.0000, 0.2118), Cd at (0.0000, 0.0000, 0.0000), In at (0.5000, 0.5000, 0.2035), In at (0.5000, 0.5000, 0.5000), Hg at (0.0000, 0.5000, 0.0935) and Hg at (0.5000, 0.5000, 0.3517).

# 2
Density functional theory data (GGA-PBE) for crystalline BeIrOs2Se at its relaxed geometry.

As for the mass density: 15.08 g cm⁻³. The magnetization is 0.000 μB/atom. The formation energy (no corrections) comes out at 6.2 eV/f.u. The energy comes out at -6.471 eV per atom.

The structure belongs to space group P4/mmm (No. 123); the cell edges are 4.1605, 4.1605 and 4.2033 Å and the angles 90.00°, 90.00° and 90.00°. The distinct sites, in fractional coordinates, are Be at (0.0000, 0.0000, 0.0000), Ir at (0.5000, 0.5000, 0.5000), Os at (0.0000, 0.5000, 0.0000) and Se at (0.0000, 0.0000, 0.5000).

Question: Which value of mass density does entry 1 give?
Answer: 7.95 g cm⁻³

Question: What is the energy in the first record?
Answer: -1.686 eV per atom